TbNd2SmEr2: relaxed, PBE-GGA.

```
data_TbNd2SmEr2
_cell_length_a 6.584
_cell_length_b 18.118
_cell_length_c 3.398
_cell_angle_alpha 90.00
_cell_angle_beta 90.00
_cell_angle_gamma 90.00
_symmetry_space_group_name_H-M 'P n n m'
_symmetry_Int_Tables_number 58
loop_
_symmetry_equiv_pos_as_xyz
'x,y,z'
'-x,-y,-z'
'-x,-y,z'
'x,y,-z'
'x+1/2,-y+1/2,-z+1/2'
'-x+1/2,y+1/2,z+1/2'
'-x+1/2,y+1/2,-z+1/2'
'x+1/2,-y+1/2,z+1/2'
loop_
_atom_site_label
_atom_site_fract_x
_atom_site_fract_y
_atom_site_fract_z
Tb1 0.000 0.000 0.000
Nd1 0.225 0.187 0.000
Sm1 0.000 0.500 0.000
Er1 0.225 0.354 0.500
```

Calculated values
calculated volume = 33.79 Å³/atom
energy of formation from the pure elements = 0.26 eV per atom
N(E_F) = 1.646 states/eV per atom
E_tot = -0.3237 Ry per atom